#P
{"formula": "OsPb3Se", "functional": "PBE", "state": "optimized geometry", "cell": [[-2.161, -4.933, 1.419], [-0.319, -1.408, -5.379], [5.123, -2.169, 0.264]], "species": ["Os", "Pb", "Pb", "Se", "Pb"], "frac_coords": [[0.500, 0.500, 0.500], [0.000, 0.000, 0.500], [0.000, 0.500, 0.000], [0.000, 0.000, 0.000], [0.500, 0.000, 0.000]], "density_g_cm3": 8.564}

#Q
{"formula": "OsPb3Se", "functional": "PBE", "state": "optimized geometry", "cell": [[-4.466, 1.786, -2.137], [0.878, -2.930, -4.283], [-2.643, -3.991, 2.188]], "species": ["Pb", "Se", "Pb", "Os", "Pb"], "frac_coords": [[0.500, 0.000, 0.000], [0.500, 0.500, 0.500], [0.000, 0.000, 0.500], [0.000, 0.000, 0.000], [0.000, 0.500, 0.000]], "density_g_cm3": 10.144}

Which one is most stable, and which one is least stable? #Q is the most stable of them, while #P is the least stable.

#P
{"formula": "SiOsPb3", "functional": "PBE", "state": "optimized geometry", "cell": [[-4.427, 1.312, 2.524], [-2.832, -2.468, -3.685], [0.265, -4.459, 2.782]], "species": ["Pb", "Si", "Os", "Pb", "Pb"], "frac_coords": [[0.000, 0.000, 0.500], [0.000, 0.000, 0.000], [0.500, 0.500, 0.500], [0.000, 0.500, 0.000], [0.500, 0.000, 0.000]], "density_g_cm3": 9.572}

#Q
{"formula": "SiOsPb3", "functional": "PBE", "state": "optimized geometry", "cell": [[5.279, 0.000, 0.000], [0.000, 5.279, 0.000], [0.000, 0.000, 5.279]], "species": ["Si", "Pb", "Pb", "Pb", "Os"], "frac_coords": [[0.500, 0.500, 0.500], [0.000, 0.500, 0.000], [0.500, 0.000, 0.000], [0.000, 0.000, 0.500], [0.000, 0.000, 0.000]], "density_g_cm3": 9.479}

Which one is most stable, and which one is least stable? #Q is the most stable of them, while #P is the least stable.

#P
{"formula": "SiOsPb", "functional": "PBE", "state": "optimized geometry", "cell": [[4.049, 0.000, 0.000], [-2.024, 3.506, 0.000], [0.000, 0.000, 4.423]], "species": ["Os", "Si", "Pb"], "frac_coords": [[0.000, 0.000, 0.833], [0.333, 0.667, 0.833], [0.667, 0.333, 0.333]], "density_g_cm3": 11.252}

#Q
{"formula": "SiOsPb", "functional": "PBE", "state": "optimized geometry", "cell": [[6.347, -0.041, 0.029], [5.593, 2.930, 0.655], [0.755, -0.441, 3.004]], "species": ["Si", "Os", "Pb"], "frac_coords": [[0.622, 0.622, 0.378], [0.034, 0.034, 0.966], [0.345, 0.345, 0.655]], "density_g_cm3": 12.131}

#R
{"formula": "SiOsPb", "functional": "PBE", "state": "optimized geometry", "cell": [[3.229, 0.000, 0.000], [-1.615, 2.797, 0.000], [0.000, 0.000, 6.361]], "species": ["Os", "Pb", "Si"], "frac_coords": [[0.000, 0.000, 0.957], [0.667, 0.333, 0.321], [0.333, 0.667, 0.722]], "density_g_cm3": 12.300}

Which one is most stable, and which one is least stable? #Q is the most stable of them, while #P is the least stable.

#P
{"formula": "SnOs2Pb", "functional": "PBE", "state": "optimized geometry", "cell": [[-0.841, 5.402, -3.138], [3.071, -2.400, -4.954], [-3.703, -0.438, -6.093]], "species": ["Os", "Sn", "Pb", "Pb", "Os", "Sn", "Os", "Os"], "frac_coords": [[0.135, 0.625, 0.250], [0.250, 0.750, 0.500], [0.750, 0.250, 0.500], [0.000, 0.000, 0.000], [0.375, 0.385, 0.750], [0.500, 0.500, 0.000], [0.875, 0.865, 0.750], [0.615, 0.125, 0.250]], "density_g_cm3": 10.577}

#Q
{"formula": "SnOs2Pb", "functional": "PBE", "state": "optimized geometry", "cell": [[0.000, 3.303, 3.303], [3.303, 0.000, 3.303], [3.303, 3.303, 0.000]], "species": ["Sn", "Os", "Pb", "Os"], "frac_coords": [[0.000, 0.000, 0.000], [0.250, 0.250, 0.250], [0.500, 0.500, 0.500], [0.750, 0.750, 0.750]], "density_g_cm3": 16.270}

Which one is most stable, and which one is least stable? #Q is the most stable of them, while #P is the least stable.

#P
{"formula": "Sn2OsPb2", "functional": "PBE", "state": "optimized geometry", "cell": [[4.004, 0.000, 0.000], [0.000, 4.004, 0.000], [2.002, 2.002, 8.725]], "species": ["Pb", "Sn", "Pb", "Sn", "Os"], "frac_coords": [[0.250, 0.750, 0.500], [0.582, 0.582, 0.837], [0.750, 0.250, 0.500], [0.418, 0.418, 0.163], [0.000, 0.000, 0.000]], "density_g_cm3": 9.995}

#Q
{"formula": "Sn2OsPb2", "functional": "PBE", "state": "optimized geometry", "cell": [[7.016, 0.000, 0.000], [0.000, 7.016, 0.000], [0.000, 0.000, 5.316]], "species": ["Sn", "Os", "Pb", "Pb", "Sn", "Os", "Sn", "Pb", "Sn", "Pb"], "frac_coords": [[0.346, 0.846, 0.000], [0.500, 0.500, 0.000], [0.327, 0.173, 0.500], [0.173, 0.673, 0.500], [0.154, 0.346, 0.000], [0.000, 0.000, 0.000], [0.846, 0.654, 0.000], [0.673, 0.827, 0.500], [0.654, 0.154, 0.000], [0.827, 0.327, 0.500]], "density_g_cm3": 10.688}

Which one is most stable, and which one is least stable? #Q is the most stable of them, while #P is the least stable.

#P
{"formula": "SrOs3Pb", "functional": "PBE", "state": "optimized geometry", "cell": [[5.065, 0.000, 0.000], [0.000, 5.065, 0.000], [0.000, 0.000, 5.065]], "species": ["Os", "Os", "Pb", "Sr", "Os"], "frac_coords": [[0.000, 0.500, 0.000], [0.000, 0.000, 0.500], [0.000, 0.000, 0.000], [0.500, 0.500, 0.500], [0.500, 0.000, 0.000]], "density_g_cm3": 11.058}

#Q
{"formula": "SrOs3Pb", "functional": "PBE", "state": "optimized geometry", "cell": [[-4.430, -1.273, -1.904], [1.965, -4.244, -1.733], [-1.178, -2.289, 4.272]], "species": ["Pb", "Os", "Sr", "Os", "Os"], "frac_coords": [[0.500, 0.500, 0.500], [0.000, 0.000, 0.500], [0.000, 0.000, 0.000], [0.500, 0.000, 0.000], [0.000, 0.500, 0.000]], "density_g_cm3": 11.583}

Which one is most stable, and which one is least stable? #P is the most stable of them, while #Q is the least stable.